# 1
Tb3Sm8Dy3 | PBE | relaxed

Cell and atoms, written as extended XYZ:
```
14
Lattice="-2.832 5.434 7.549 2.832 -5.434 7.549 2.832 5.434 -7.549" Properties=species:S:1:pos:R:3 pbc="T T T"
Tb 0.000 0.000 0.000
Tb 2.832 0.000 2.727
Tb 0.000 5.434 4.822
Sm 2.832 3.715 -3.371
Sm 2.832 -1.753 5.983
Sm 0.000 1.719 4.178
Sm 0.000 3.682 1.566
Sm 2.832 1.753 5.983
Sm 2.832 3.715 3.371
Sm 0.000 7.187 1.566
Sm 0.000 1.719 10.920
Dy 2.832 2.172 0.000
Dy 0.000 0.000 7.549
Dy 0.000 3.262 7.549
```

Its space group is Immm (71). The spin magnetization is 0.0 μB per formula unit. As for the calculated volume: 465 Å³ per cell. The calculation puts the formation energy at 109 meV per atom.



# 2
TbSm4Dy | PBE | relaxed

Cell and atoms, written as extended XYZ:
```
6
Lattice="5.821 -5.823 0.000 5.821 5.823 0.000 0.000 0.000 3.466" Properties=species:S:1:pos:R:3 pbc="T T T"
Tb 0.000 0.000 0.000
Sm 2.784 0.000 1.733
Sm 5.821 2.778 0.000
Sm 5.821 -2.778 0.000
Sm 8.859 0.000 1.733
Dy 5.821 0.000 1.733
```

Its space group is Cmmm (65). The spin magnetization is 0.0 μB per formula unit. As for the calculated volume: 235 Å³ per cell. The calculation puts the formation energy at 646 meV per atom.



# 3
Tb2Sm3Dy5 | PBE | relaxed

Cell and atoms, written as extended XYZ:
```
20
Lattice="-5.615 8.857 3.347 5.615 -8.857 3.347 5.615 8.857 -3.347" Properties=species:S:1:pos:R:3 pbc="T T T"
Tb 2.650 0.493 0.000
Tb 2.650 -0.493 3.347
Tb 2.966 9.350 0.000
Tb 2.966 8.365 3.347
Sm 7.988 3.051 0.000
Sm 0.000 0.000 1.673
Sm 2.373 5.806 0.000
Sm 3.242 3.051 3.347
Sm 0.000 0.000 5.020
Sm -2.373 5.806 3.347
Dy 5.615 5.647 -1.673
Dy 4.543 2.997 0.000
Dy 5.615 0.000 1.673
Dy 4.543 -2.997 3.347
Dy 0.000 3.210 1.673
Dy 5.615 5.647 1.673
Dy 1.072 11.854 0.000
Dy 0.000 8.857 1.673
Dy 1.072 5.860 3.347
Dy 0.000 3.210 5.020
```

Its space group is Ibam (72). The spin magnetization is 0.0 μB per formula unit. As for the calculated volume: 666 Å³ per cell. The calculation puts the formation energy at 261 meV per atom.